KW2O6: optimized geometry, PBE with a Hubbard U.

Cell: 7.403 7.403 7.403 Å, 60.00 60.00 60.00°
Site moments in Bohr magnetons follow the coordinates.
Fractional positions:
O: 0.063 0.437 0.063  -0.04
O: 0.063 0.063 0.437  -0.04
O: 0.437 0.063 0.063  -0.04
O: 0.813 0.813 0.187  -0.04
O: 0.063 0.437 0.437  -0.04
O: 0.187 0.187 0.813  -0.04
O: 0.187 0.813 0.187  -0.04
O: 0.813 0.187 0.187  -0.04
O: 0.813 0.187 0.813  -0.04
O: 0.187 0.813 0.813  -0.04
O: 0.437 0.063 0.437  -0.04
O: 0.437 0.437 0.063  -0.04
W: 0.125 0.625 0.125  0.57
W: 0.125 0.125 0.125  0.57
W: 0.625 0.125 0.125  0.57
W: 0.125 0.125 0.625  0.57
K: 0.500 0.500 0.500  0.00
K: 0.750 0.750 0.750  0.00

## Properties
The final energy is -7.039 eV per atom. Its volume is 15.9 A^3/atom. The crystal system is cubic.